[1]
BeOF PBE-GGA optimized geometry; E_form (uncorrected) = -570 kJ/mol of formula units; Fermi-level density of states = 4.937 states/eV/cell
1.0
4.800 0.000 0.000
0.000 5.126 0.000
0.000 0.000 4.128
O F Be
4 4 4
Direct
0.993 0.250 0.000 O
0.493 0.750 0.000 O
0.993 0.750 0.000 O
0.493 0.250 0.000 O
0.243 0.000 0.500 F
0.743 0.000 0.500 F
0.243 0.500 0.500 F
0.743 0.500 0.500 F
0.993 0.500 0.254 Be
0.493 0.500 0.746 Be
0.993 0.000 0.746 Be
0.493 0.000 0.254 Be



[2]
BeOsOF2 PBE-GGA optimized geometry; E_form (uncorrected) = -109 kJ/mol of formula units; E above lowest polymorph = 79.8 kJ/mol of atoms; Fermi-level density of states = 2.972 states/eV/cell
1.0
4.359 0.000 0.000
0.000 4.359 0.000
0.000 0.000 3.693
Be Os O F
1 1 1 2
Direct
0.500 0.500 0.500 Be
0.000 0.000 0.000 Os
0.000 0.000 0.500 O
0.000 0.500 0.000 F
0.500 0.000 0.000 F



[3]
BeOsOF2 PBE-GGA optimized geometry; E_form (uncorrected) = -508 kJ/mol of formula units; E above lowest polymorph = 0.0 kJ/mol of atoms; Fermi-level density of states = 2.589 states/eV/cell
1.0
3.100 0.000 0.000
0.000 3.100 0.000
0.000 0.000 6.990
Be Os O F
1 1 1 2
Direct
0.000 0.000 0.000 Be
0.500 0.500 0.500 Os
0.000 0.000 0.500 O
0.000 0.500 0.000 F
0.500 0.000 0.000 F



[4]
BeOsO2F PBE-GGA optimized geometry; E_form (uncorrected) = -298 kJ/mol of formula units; Fermi-level density of states = 3.511 states/eV/cell
1.0
3.842 0.000 0.000
0.000 3.842 0.000
0.000 0.000 2.958
Be Os O F
1 1 2 1
Direct
0.000 0.000 0.000 Be
0.500 0.500 0.500 Os
0.000 0.500 0.000 O
0.500 0.000 0.000 O
0.000 0.000 0.500 F



> What is the Fermi-level density of states in the first record?

4.937 states/eV/cell